Record 1
This record from Alexandria via LeMat-Bulk describes a relaxed structure of Sm3UPa2As6. The functional is PBE.

Cell lengths 9.297, 9.297, 8.322 Å; angles 103.48, 103.48, 25.71 degrees
Positions (direct):
1 Sm 0.000 0.000 0.000
2 Sm 0.333 0.333 0.667
3 Sm 0.667 0.667 0.333
4 U 0.000 0.000 0.500
5 Pa 0.335 0.335 0.170
6 Pa 0.665 0.665 0.830
7 As 0.165 0.165 0.587
8 As 0.169 0.169 0.077
9 As 0.499 0.499 0.255
10 As 0.501 0.501 0.745
11 As 0.831 0.831 0.923
12 As 0.835 0.835 0.413

For the total energy, the calculation gives -7.26 eV/atom. For the energy of formation from the pure elements, the calculation gives -1233.5 meV/atom.

=====

Record 2
This record from Alexandria via LeMat-Bulk describes a relaxed structure of Sm2YPaAs5. The functional is PBE.

Cell lengths 5.079, 5.079, 10.889 Å; angles 90.00, 90.00, 90.00 degrees
Positions (direct):
1 Sm 0.000 0.000 0.230
2 Sm 0.000 0.000 0.770
3 Y 0.500 0.500 0.500
4 Pa 0.500 0.500 0.000
5 As 0.000 0.000 0.500
6 As 0.000 0.500 0.000
7 As 0.500 0.000 0.000
8 As 0.500 0.500 0.254
9 As 0.500 0.500 0.746

For the total energy, the calculation gives -5.98 eV/atom. For the energy of formation from the pure elements, the calculation gives -576.6 meV/atom.

=====

Record 3
This record from Alexandria via LeMat-Bulk describes a relaxed structure of SmYPa2As4. The functional is PBE.

Cell lengths 7.146, 4.126, 7.147 Å; angles 90.00, 109.48, 90.00 degrees
Positions (direct):
1 Sm 0.000 0.000 0.000
2 Y 0.000 0.500 0.500
3 Pa 0.500 0.000 0.500
4 Pa 0.500 0.500 0.000
5 As 0.255 0.000 0.749
6 As 0.257 0.500 0.255
7 As 0.743 0.500 0.745
8 As 0.745 0.000 0.251

For the total energy, the calculation gives -7.38 eV/atom. For the energy of formation from the pure elements, the calculation gives -1286.8 meV/atom.

=====

Q: The highest total energy belongs to which entry?
A: Sm2YPaAs5

=====

Q: What is the energy of formation from the pure elements in the second record?
A: -576.6 meV/atom